1.
! meta-GGA SCAN KBaSbIr2, single point on PBEsol structure; values from VASP
&SYSTEM
  ibrav = 0, nat = 5, ntyp = 4
/
ATOMIC_SPECIES
Sb 121.76 Sb.upf
Ir 192.22 Ir.upf
K 39.10 K.upf
Ba 137.33 Ba.upf
ATOMIC_POSITIONS crystal
Sb 0.000 0.000 0.000
Ir 0.000 0.500 0.000
K 0.000 0.000 0.500
Ir 0.500 0.000 0.000
Ba 0.500 0.500 0.500
CELL_PARAMETERS angstrom
5.002 0.000 0.000
0.000 5.002 0.000
0.000 0.000 5.648
! SG: No. 123
! Theoretical density: 8.0 g/cm³
! E_form (uncorrected): 2.5 eV per formula unit
! Energy: -44.9695 eV per atom

=====

2.
! meta-GGA SCAN ZrMn2Cr, single point on PBEsol structure; values from VASP
&SYSTEM
  ibrav = 0, nat = 4, ntyp = 3
/
ATOMIC_SPECIES
Mn 54.94 Mn.upf
Zr 91.22 Zr.upf
Cr 52.00 Cr.upf
ATOMIC_POSITIONS crystal
Mn 0.010 0.000 0.993
Zr 0.499 0.000 0.493
Mn 0.736 0.500 0.203
Cr 0.255 0.500 0.811
CELL_PARAMETERS angstrom
2.693 0.000 0.007
0.000 3.865 0.000
-1.084 0.000 5.103
! SG: No. 6
! Energy relative to the elements: 0.31 eV/atom
! Theoretical density: 7.9 g/cm³
! Energy: -21.0862 eV per atom
! Excess energy over the best structure of this formula in the dataset: 382.8 meV per atom

=====

3.
! meta-GGA SCAN In2WBr, single point on PBEsol structure; values from VASP
&SYSTEM
  ibrav = 0, nat = 4, ntyp = 3
/
ATOMIC_SPECIES
Br 79.90 Br.upf
In 114.82 In.upf
W 183.84 W.upf
ATOMIC_POSITIONS crystal
Br 0.000 0.000 0.000
In 0.750 0.750 0.750
In 0.250 0.250 0.250
W 0.500 0.500 0.500
CELL_PARAMETERS angstrom
4.971 0.000 0.000
2.486 4.305 0.000
2.486 1.435 4.059
! SG: No. 225
! Theoretical density: 9.4 g/cm³
! E_form (uncorrected): 4.8 eV per formula unit
! Energy: -37.7901 eV per atom
! Excess energy over the best structure of this formula in the dataset: 707.3 meV per atom

=====

4.
! meta-GGA SCAN KCd2Se, single point on PBEsol structure; values from VASP
&SYSTEM
  ibrav = 0, nat = 4, ntyp = 3
/
ATOMIC_SPECIES
Se 78.96 Se.upf
Cd 112.41 Cd.upf
K 39.10 K.upf
ATOMIC_POSITIONS crystal
Se 0.000 0.000 0.000
Cd 0.274 0.274 0.179
Cd 0.726 0.726 0.821
K 0.500 0.500 0.500
CELL_PARAMETERS angstrom
-1.621 1.260 3.772
-0.037 -2.708 3.334
6.568 2.119 4.559
! SG: No. 166
! Theoretical density: 4.5 g/cm³
! E_form (uncorrected): -0.9 eV per formula unit
! Energy: -22.5449 eV per atom

=====

5.
! meta-GGA SCAN BaScIn2, single point on PBEsol structure; values from VASP
&SYSTEM
  ibrav = 0, nat = 4, ntyp = 3
/
ATOMIC_SPECIES
Sc 44.96 Sc.upf
In 114.82 In.upf
Ba 137.33 Ba.upf
ATOMIC_POSITIONS crystal
Sc 0.500 0.500 0.500
In 0.000 0.500 0.000
In 0.000 0.000 0.500
Ba 0.500 0.000 0.000
CELL_PARAMETERS angstrom
-0.245 -3.919 -2.420
4.746 -1.004 1.145
-1.499 -2.429 4.086
! SG: No. 123
! Energy relative to the elements: -0.22 eV/atom
! Theoretical density: 6.0 g/cm³
! Energy: -30.3581 eV per atom

=====

6.
! meta-GGA SCAN K2TaSi, single point on PBEsol structure; values from VASP
&SYSTEM
  ibrav = 0, nat = 4, ntyp = 3
/
ATOMIC_SPECIES
K 39.10 K.upf
Ta 180.95 Ta.upf
Si 28.09 Si.upf
ATOMIC_POSITIONS crystal
K 0.000 0.000 0.925
Ta 0.500 0.500 0.638
K 0.500 0.500 0.318
Si 0.000 0.000 0.618
CELL_PARAMETERS angstrom
3.557 0.000 0.000
0.000 3.557 0.000
0.000 0.000 10.386
! SG: No. 99
! Theoretical density: 3.6 g/cm³
! E_form (uncorrected): 1.6 eV per formula unit
! Energy: -22.9151 eV per atom

=====

7.
! meta-GGA SCAN Ag5Sb, single point on PBEsol structure; values from VASP
&SYSTEM
  ibrav = 0, nat = 6, ntyp = 2
/
ATOMIC_SPECIES
Ag 107.87 Ag.upf
Sb 121.76 Sb.upf
ATOMIC_POSITIONS crystal
Ag 0.671 0.000 0.342
Ag 0.441 0.500 0.881
Ag 0.333 0.000 0.666
Ag 0.784 0.500 0.567
Sb 0.111 0.500 0.222
Ag 0.994 0.000 0.988
CELL_PARAMETERS angstrom
3.029 0.000 0.000
0.000 4.736 0.000
-1.514 0.000 7.559
! SG: No. 38
! Theoretical density: 10.1 g/cm³
! E_form (uncorrected): 0.4 eV per formula unit
! Energy: -32.2762 eV per atom
! Excess energy over the best structure of this formula in the dataset: 49.7 meV per atom

=====

8.
! meta-GGA SCAN MnGaO2F, single point on PBEsol structure; values from VASP
&SYSTEM
  ibrav = 0, nat = 5, ntyp = 4
/
ATOMIC_SPECIES
F 19.00 F.upf
O 16.00 O.upf
Mn 54.94 Mn.upf
Ga 69.72 Ga.upf
ATOMIC_POSITIONS crystal
F 0.000 0.000 0.500
O 0.000 0.500 0.000
Mn 0.000 0.000 0.000
Ga 0.500 0.500 0.500
O 0.500 0.000 0.000
CELL_PARAMETERS angstrom
3.762 0.000 0.000
0.000 3.762 0.000
0.000 0.000 3.902
! SG: No. 123
! Theoretical density: 5.3 g/cm³
! E_form (uncorrected): -7.9 eV per formula unit
! Energy: -11.7027 eV per atom

=====

9.
! meta-GGA SCAN RbHgSb2Te, single point on PBEsol structure; values from VASP
&SYSTEM
  ibrav = 0, nat = 5, ntyp = 4
/
ATOMIC_SPECIES
Sb 121.76 Sb.upf
Rb 85.47 Rb.upf
Hg 200.59 Hg.upf
Te 127.60 Te.upf
ATOMIC_POSITIONS crystal
Sb 0.000 0.500 0.000
Rb 0.500 0.500 0.500
Hg 0.000 0.000 0.000
Sb 0.500 0.000 0.000
Te 0.000 0.000 0.500
CELL_PARAMETERS angstrom
5.546 0.000 0.000
0.000 5.546 0.000
0.000 0.000 5.857
! SG: No. 123
! Theoretical density: 6.1 g/cm³
! E_form (uncorrected): 1.0 eV per formula unit
! Energy: -39.9445 eV per atom

=====

10.
! meta-GGA SCAN TcRu, single point on PBEsol structure; values from VASP
&SYSTEM
  ibrav = 0, nat = 4, ntyp = 2
/
ATOMIC_SPECIES
Ru 101.07 Ru.upf
Tc 98.00 Tc.upf
ATOMIC_POSITIONS crystal
Ru 0.500 0.750 0.829
Tc 0.000 0.250 0.667
Ru 0.500 0.250 0.171
Tc 0.000 0.750 0.333
CELL_PARAMETERS angstrom
-0.777 1.888 -1.778
-3.190 1.150 2.614
2.819 3.110 2.072
! SG: No. 51
! Energy relative to the elements: -0.08 eV/atom
! Theoretical density: 12.2 g/cm³
! Energy: -35.0273 eV per atom
! Excess energy over the best structure of this formula in the dataset: 0.0 meV per atom

=====

11.
! meta-GGA SCAN YHgSb2I, single point on PBEsol structure; values from VASP
&SYSTEM
  ibrav = 0, nat = 5, ntyp = 4
/
ATOMIC_SPECIES
Y 88.91 Y.upf
I 126.90 I.upf
Sb 121.76 Sb.upf
Hg 200.59 Hg.upf
ATOMIC_POSITIONS crystal
Y 0.000 0.000 0.000
I 0.000 0.000 0.500
Sb 0.500 0.000 0.000
Sb 0.000 0.500 0.000
Hg 0.500 0.500 0.500
CELL_PARAMETERS angstrom
5.801 0.000 0.000
0.000 5.801 0.000
0.000 0.000 5.806
! SG: No. 123
! Theoretical density: 5.6 g/cm³
! E_form (uncorrected): 0.1 eV per formula unit
! Energy: -41.4358 eV per atom

=====

12.
! meta-GGA SCAN ZrSiAu2, single point on PBEsol structure; values from VASP
&SYSTEM
  ibrav = 0, nat = 4, ntyp = 3
/
ATOMIC_SPECIES
Au 196.97 Au.upf
Zr 91.22 Zr.upf
Si 28.09 Si.upf
ATOMIC_POSITIONS crystal
Au 0.011 0.011 0.022
Au 0.788 0.288 0.576
Zr 0.220 0.720 0.439
Si 0.481 0.481 0.963
CELL_PARAMETERS angstrom
-2.935 0.896 2.439
2.065 -2.501 3.404
2.310 3.882 -1.796
! SG: No. 44
! Theoretical density: 12.2 g/cm³
! E_form (uncorrected): -1.8 eV per formula unit
! Energy: -45.1988 eV per atom

=====

- What is the formula in the tenth record?
  TcRu

=====

- theoretical density of number 11 (YHgSb2I)?
  5.6 g/cm³